Crystalline Tm2Ni3Sn2C at its relaxed geometry, computed with GGA-PBE.

```
Tm2Ni3Sn2C
1.0
-1.4770 2.0275 -3.4054
-1.7801 -3.6321 1.2361
-5.7480 4.5971 5.2301
Sn Tm C Ni
2 2 1 3
direct
0.6667 0.3333 0.4978 Sn
0.6667 0.3333 0.9884 Sn
0.3333 0.6667 0.2207 Tm
0.0000 0.0000 0.7445 Tm
0.0000 0.0000 0.1973 C
0.3333 0.6667 0.5750 Ni
0.3333 0.6667 0.8750 Ni
0.0000 0.0000 0.4014 Ni
```

Values from the calculation:
- Crystal system: trigonal
- E: -5.582 eV/atom
- Total magnetization: 0.0 Bohr magnetons per cell